# 1
! Nd12Er7Th (PBE, optimized geometry); values from VASP
&SYSTEM
  ibrav = 0, nat = 20, ntyp = 3
/
ATOMIC_SPECIES
Nd 144.24 Nd.upf
Er 167.26 Er.upf
Th 232.04 Th.upf
ATOMIC_POSITIONS angstrom
Nd -0.755 -4.190 3.910
Nd 0.755 4.190 11.359
Nd -3.251 2.749 3.910
Nd -3.359 -0.954 8.238
Nd -0.854 -3.386 7.031
Nd -4.006 -1.441 11.359
Nd -2.506 2.432 7.031
Nd 2.506 -2.432 8.238
Nd 4.006 1.441 3.910
Nd 0.854 3.386 8.238
Nd 3.359 0.954 7.031
Nd 3.251 -2.749 11.359
Er 0.000 0.000 0.000
Er -1.988 -0.492 4.657
Er 1.420 -1.476 4.657
Er 0.568 1.968 4.657
Er -0.568 -1.968 10.612
Er -1.420 1.476 10.612
Er 1.988 0.492 10.612
Th 0.000 0.000 7.634
CELL_PARAMETERS angstrom
6.206 3.583 5.090
-6.206 3.583 5.090
0.000 -7.166 5.090
! - polymorph energy (0 for the lowest one) (meV per atom) = 0.0
! - VASP energy (eV/atom) = -4.605
! - total moment (μB per formula unit) = 0.00
! - energy of formation (eV per atom) = 0.22


# 2
! AcPuScIn (PBE, optimized geometry); values from VASP
&SYSTEM
  ibrav = 0, nat = 4, ntyp = 4
/
ATOMIC_SPECIES
Ac 227.00 Ac.upf
Pu 244.00 Pu.upf
Sc 44.96 Sc.upf
In 114.82 In.upf
ATOMIC_POSITIONS angstrom
Ac 0.000 0.000 0.000
Pu 1.927 1.927 1.927
Sc 5.780 5.780 5.780
In 3.854 3.854 3.854
CELL_PARAMETERS angstrom
0.000 3.854 3.854
3.854 0.000 3.854
3.854 3.854 0.000
! - VASP energy (eV/atom) = -6.798
! - total moment (μB per formula unit) = 7.34
! - energy of formation (eV per atom) = 0.08


- Which of these has the highest total moment?
  AcPuScIn


- What is the formula in the second record?
  AcPuScIn


What did the second record say?
! AcPuScIn (PBE, optimized geometry); values from VASP
&SYSTEM
  ibrav = 0, nat = 4, ntyp = 4
/
ATOMIC_SPECIES
Ac 227.00 Ac.upf
Pu 244.00 Pu.upf
Sc 44.96 Sc.upf
In 114.82 In.upf
ATOMIC_POSITIONS angstrom
Ac 0.000 0.000 0.000
Pu 1.927 1.927 1.927
Sc 5.780 5.780 5.780
In 3.854 3.854 3.854
CELL_PARAMETERS angstrom
0.000 3.854 3.854
3.854 0.000 3.854
3.854 3.854 0.000
! - VASP energy (eV/atom) = -6.798
! - total moment (μB per formula unit) = 7.34
! - energy of formation (eV per atom) = 0.08